No. 1
GGA-PBE HoMgTlSe3, relaxed; ρ = 5.9 g/cm³; total DFT energy (no corrections) = -4.445 eV per atom; magnetic moment = 0.000 μB per atom
1.0
14.8273 0.0000 0.0000
0.0000 4.2115 0.0000
0.0000 0.0000 11.2960
Ho Mg Tl Se
4 4 4 12
Direct
0.0257 0.2500 0.1506
0.4743 0.7500 0.6506
0.5257 0.2500 0.3494
0.9743 0.7500 0.8494
0.0212 0.7500 0.4003
0.4788 0.2500 0.9003
0.5212 0.7500 0.0997
0.9788 0.2500 0.5997
0.2442 0.2500 0.4534
0.2558 0.7500 0.9534
0.7442 0.2500 0.0466
0.7558 0.7500 0.5466
0.0789 0.7500 0.6198
0.0958 0.2500 0.9204
0.1396 0.7500 0.2370
0.3604 0.2500 0.7370
0.4042 0.7500 0.4204
0.4211 0.2500 0.1198
0.5789 0.7500 0.8802
0.5958 0.2500 0.5796
0.6396 0.7500 0.2630
0.8604 0.2500 0.7630
0.9042 0.7500 0.0796
0.9211 0.2500 0.3802

***

No. 2
GGA-PBE HoMgTlSe3, relaxed; ρ = 5.8 g/cm³; total DFT energy (no corrections) = -4.450 eV per atom; magnetic moment = 0.001 μB per atom
1.0
8.9971 0.0000 0.0000
0.0000 4.2217 0.0000
-2.8233 0.0000 9.5378
Ho Mg Tl Se
2 2 2 6
Direct
0.1695 0.2500 0.1349
0.8305 0.7500 0.8651
0.4228 0.7500 0.3860
0.5772 0.2500 0.6140
0.2885 0.7500 0.7840
0.7115 0.2500 0.2160
0.0388 0.2500 0.8420
0.2920 0.2500 0.4503
0.3842 0.7500 0.1226
0.6158 0.2500 0.8774
0.7080 0.7500 0.5497
0.9612 0.7500 0.1580

***

No. 3
GGA-PBE HoMgSi, relaxed; ρ = 5.1 g/cm³; total DFT energy (no corrections) = -4.224 eV per atom; magnetic moment = 0.002 μB per atom
1.0
0.0000 3.2773 3.2773
3.2773 0.0000 3.2773
3.2773 3.2773 0.0000
Ho Mg Si
1 1 1
Direct
0.0000 0.0000 0.0000
0.5000 0.5000 0.5000
0.2500 0.2500 0.2500